1.
DFT (GGA-PBE) results for an optimized crystal structure of Ca8P5Se.

Geometry as POSCAR:
```
Ca8P5Se
1.0
7.167 0.000 -2.497
-3.561 6.200 -2.546
-0.046 0.000 7.590
Ca P Se
8 5 1
Cartesian
3.117 2.386 4.106 Ca
0.986 1.522 1.523 Ca
4.505 1.527 0.287 Ca
1.302 5.535 2.803 Ca
1.333 3.814 -0.924 Ca
-1.801 4.678 -2.106 Ca
6.634 0.666 2.873 Ca
-1.833 4.673 1.623 Ca
-1.312 2.345 -0.007 P
3.130 3.855 1.307 P
2.190 0.758 6.306 P
3.561 0.000 2.546 P
3.114 5.443 -2.513 P
-0.023 3.100 3.795 Se
```

E_tot (eV per atom): -4.5626
E_form (uncorrected) (kcal/mol of atoms): -28.5
Fermi-level density of states (states/eV/atom): 0.615
M_tot (μB/f.u.): 0.0

***

2.
DFT (GGA-PBE) results for an optimized crystal structure of CaPSe4.

Geometry as POSCAR:
```
CaPSe4
1.0
0.000 4.047 4.047
4.047 0.000 4.047
4.047 4.047 0.000
Ca Se P
1 4 1
Cartesian
6.071 6.071 6.071 Ca
5.063 3.031 5.063 Se
5.063 5.063 3.031 Se
3.031 3.031 3.031 Se
3.031 5.063 5.063 Se
0.000 0.000 0.000 P
```

E_tot (eV per atom): -3.3810
E_form (uncorrected) (kcal/mol of atoms): 4.1
Fermi-level density of states (states/eV/atom): 0.459
M_tot (μB/f.u.): 0.0

***

- Which formula does entry 2 have?
  CaPSe4

***

- Which formula does entry 2 have?
  CaPSe4

***

What did the second record say?
DFT (GGA-PBE) results for an optimized crystal structure of CaPSe4.

Geometry as POSCAR:
```
CaPSe4
1.0
0.000 4.047 4.047
4.047 0.000 4.047
4.047 4.047 0.000
Ca Se P
1 4 1
Cartesian
6.071 6.071 6.071 Ca
5.063 3.031 5.063 Se
5.063 5.063 3.031 Se
3.031 3.031 3.031 Se
3.031 5.063 5.063 Se
0.000 0.000 0.000 P
```

E_tot (eV per atom): -3.3810
E_form (uncorrected) (kcal/mol of atoms): 4.1
Fermi-level density of states (states/eV/atom): 0.459
M_tot (μB/f.u.): 0.0

***

What did the first record say?
DFT (GGA-PBE) results for an optimized crystal structure of Ca8P5Se.

Geometry as POSCAR:
```
Ca8P5Se
1.0
7.167 0.000 -2.497
-3.561 6.200 -2.546
-0.046 0.000 7.590
Ca P Se
8 5 1
Cartesian
3.117 2.386 4.106 Ca
0.986 1.522 1.523 Ca
4.505 1.527 0.287 Ca
1.302 5.535 2.803 Ca
1.333 3.814 -0.924 Ca
-1.801 4.678 -2.106 Ca
6.634 0.666 2.873 Ca
-1.833 4.673 1.623 Ca
-1.312 2.345 -0.007 P
3.130 3.855 1.307 P
2.190 0.758 6.306 P
3.561 0.000 2.546 P
3.114 5.443 -2.513 P
-0.023 3.100 3.795 Se
```

E_tot (eV per atom): -4.5626
E_form (uncorrected) (kcal/mol of atoms): -28.5
Fermi-level density of states (states/eV/atom): 0.615
M_tot (μB/f.u.): 0.0